Entry from Alexandria via LeMat-Bulk: an optimized crystal structure of LiBiAu2 (PBE-GGA).

Geometry as POSCAR:
```
LiBiAu2
1.0
-2.0826 2.0826 9.8885
2.0826 -2.0826 9.8885
2.0826 2.0826 -9.8885
Li Bi Au
2 2 4
direct
0.0000 0.0000 0.0000
0.7500 0.2500 0.5000
0.2500 0.7500 0.5000
0.5000 0.5000 0.0000
0.1119 0.6250 0.9869
0.3750 0.3619 0.4869
0.6381 0.1250 0.0131
0.8750 0.8881 0.5131
```

Results
formation energy from the elements	-0.1046	eV/atom
space group	I-42d (122)


Entry from Alexandria via LeMat-Bulk: an optimized crystal structure of Cs2CdReBr6 (PBE-GGA).

Geometry as POSCAR:
```
Cs2CdReBr6
1.0
0.0000 5.7857 5.7857
5.7857 0.0000 5.7857
5.7857 5.7857 0.0000
Cs Cd Re Br
2 1 1 6
direct
0.2500 0.2500 0.2500
0.7500 0.7500 0.7500
0.0000 0.0000 0.0000
0.5000 0.5000 0.5000
0.2786 0.2786 0.7214
0.2786 0.7214 0.2786
0.2786 0.7214 0.7214
0.7214 0.2786 0.2786
0.7214 0.2786 0.7214
0.7214 0.7214 0.2786
```

Results
raw formation energy	-840	meV/atom
space group	Fm-3m (225)


Entry from Alexandria via LeMat-Bulk: an optimized crystal structure of ZnHgSN2 (PBE-GGA).

Geometry as POSCAR:
```
ZnHgSN2
1.0
4.1277 0.0000 0.0000
0.0000 4.1277 0.0000
0.0000 0.0000 5.9452
Zn Hg S N
1 1 1 2
direct
0.0000 0.0000 0.0000
0.5000 0.5000 0.5000
0.5000 0.5000 0.0000
0.0000 0.5000 0.5000
0.5000 0.0000 0.5000
```

Results
raw formation energy	1873	meV/atom
space group	P4/mmm (123)


Entry from Alexandria via LeMat-Bulk: an optimized crystal structure of Nd6Ga2Ru (PBE-GGA).

Geometry as POSCAR:
```
Nd6Ga2Ru
1.0
6.1602 0.0000 0.0000
0.0000 9.0433 0.0000
-4.7068 0.0000 9.2799
Nd Ga Ru
12 4 2
direct
0.0701 0.1749 0.4781
0.0701 0.3251 0.9781
0.3477 0.6766 0.4461
0.3477 0.8234 0.9461
0.3717 0.0321 0.2708
0.3717 0.4679 0.7708
0.6283 0.5321 0.2292
0.6283 0.9679 0.7292
0.6523 0.1766 0.0539
0.6523 0.3234 0.5539
0.9299 0.6749 0.0219
0.9299 0.8251 0.5219
0.1417 0.1088 0.7796
0.1417 0.3912 0.2796
0.8583 0.6088 0.7204
0.8583 0.8912 0.2204
0.0000 0.0000 0.0000
0.0000 0.5000 0.5000
```

Results
formation energy from the elements	-0.2859	eV/atom
space group	P2_1/c (14)


Entry from Alexandria via LeMat-Bulk: an optimized crystal structure of TbNiSnRh (PBE-GGA).

Geometry as POSCAR:
```
TbNiSnRh
1.0
0.0000 3.3044 3.3044
3.3044 0.0000 3.3044
3.3044 3.3044 0.0000
Tb Ni Sn Rh
1 1 1 1
direct
0.0000 0.0000 0.0000
0.7500 0.7500 0.7500
0.5000 0.5000 0.5000
0.2500 0.2500 0.2500
```

Results
formation energy from the elements	-0.5974	eV/atom
space group	F-43m (216)


Entry from Alexandria via LeMat-Bulk: an optimized crystal structure of Er4Ga2Sb (PBE-GGA).

Geometry as POSCAR:
```
Er4Ga2Sb
1.0
-4.4837 4.4837 4.4620
4.4837 -4.4837 4.4620
4.4837 4.4837 -4.4620
Er Ga Sb
8 4 2
direct
0.1334 0.7378 0.7467
0.1367 0.2411 0.7533
0.2622 0.0089 0.3955
0.4878 0.3834 0.2467
0.6133 0.8666 0.6045
0.6166 0.8633 0.1045
0.7589 0.5122 0.8955
0.9911 0.3867 0.2533
0.2485 0.6250 0.1235
0.3750 0.4985 0.6235
0.5015 0.1250 0.8765
0.8750 0.7515 0.3765
0.0000 0.0000 0.0000
0.7500 0.2500 0.5000
```

Results
raw formation energy	-644	meV/atom
space group	I-42d (122)


What did the fifth record say?
Entry from Alexandria via LeMat-Bulk: an optimized crystal structure of TbNiSnRh (PBE-GGA).

Geometry as POSCAR:
```
TbNiSnRh
1.0
0.0000 3.3044 3.3044
3.3044 0.0000 3.3044
3.3044 3.3044 0.0000
Tb Ni Sn Rh
1 1 1 1
direct
0.0000 0.0000 0.0000
0.7500 0.7500 0.7500
0.5000 0.5000 0.5000
0.2500 0.2500 0.2500
```

Results
formation energy from the elements	-0.5974	eV/atom
space group	F-43m (216)